Ce2DyAg: relaxed, PBE.

The structure belongs to space group P4/mmm (No. 123); the cell edges are 5.639, 5.639 and 3.473 Å and the angles 90.00°, 90.00° and 90.00°. The asymmetric unit holds Ce at (0.000, 0.500, 0.000), Dy at (0.000, 0.000, 0.500) and Ag at (0.500, 0.500, 0.500).

As for the magnetization: 0.532 μB/atom. The calculation puts the calculated total energy at -18.9 eV for the cell shown. Its formation energy is 11.0 kJ/mol of atoms. The excess energy over the best structure of this formula in the dataset comes out at 0.054 eV per atom.